No. 1
Compound: EuSn2Rh
Source: Alexandria via LeMat-Bulk
Functional: GGA-PBE
Structure: optimized geometry Values from VASP.

Quantum ESPRESSO input file:
```
&SYSTEM
  ibrav = 0, nat = 4, ntyp = 3
/
ATOMIC_SPECIES
Eu 151.96 Eu.upf
Sn 118.71 Sn.upf
Rh 102.91 Rh.upf
ATOMIC_POSITIONS crystal
Eu 0.0000 0.0000 0.0000
Sn 0.5000 0.5000 0.3031
Sn 0.5000 0.5000 0.6969
Rh 0.0000 0.0000 0.5000
CELL_PARAMETERS angstrom
3.4297 0.0000 0.0000
0.0000 3.4297 0.0000
0.0000 0.0000 7.6811
```

Values from the calculation:
The crystal system is tetragonal. The total energy comes out at -27.7 eV per formula unit. The calculation puts the formation energy at -0.508 eV/atom.



No. 2
Compound: Eu2SnRh
Source: Alexandria via LeMat-Bulk
Functional: GGA-PBE
Structure: optimized geometry Values from VASP.

Quantum ESPRESSO input file:
```
&SYSTEM
  ibrav = 0, nat = 4, ntyp = 3
/
ATOMIC_SPECIES
Eu 151.96 Eu.upf
Sn 118.71 Sn.upf
Rh 102.91 Rh.upf
ATOMIC_POSITIONS crystal
Eu 0.0000 0.0000 0.2115
Eu 0.0000 0.0000 0.7885
Sn 0.5000 0.5000 0.5000
Rh 0.5000 0.5000 0.0000
CELL_PARAMETERS angstrom
3.4648 0.0000 0.0000
0.0000 3.4648 0.0000
0.0000 0.0000 8.5600
```

Values from the calculation:
For the polymorph energy (0 for the lowest one), the calculation gives 0 meV per atom. The crystal system is tetragonal. The total energy comes out at -33.8 eV per formula unit. The calculation puts the formation energy at -0.477 eV/atom.